1.
A relaxed WN crystal, computed with PBE.

Calculated values
For the energy, the calculation gives -10.761 eV per atom. The symmetry is Pmmn.

```
data_WN
_chemical_formula_sum 'W6 N6'
_cell_length_a 3.0568
_cell_length_b 10.0274
_cell_length_c 4.9530
_cell_angle_alpha 90.00
_cell_angle_beta 90.00
_cell_angle_gamma 90.00
_space_group_name_H-M_alt 'P 1'
_space_group_IT_number 1
loop_
_space_group_symop_operation_xyz
'x,y,z'
loop_
_atom_site_label
_atom_site_fract_x
_atom_site_fract_y
_atom_site_fract_z
_atom_site_occupancy
W1 0.2500 0.1095 0.0236 1
W2 0.2500 0.3905 0.0236 1
W3 0.2500 0.7500 0.3877 1
W4 0.7500 0.2500 0.6123 1
W5 0.7500 0.6095 0.9764 1
W6 0.7500 0.8905 0.9764 1
N1 0.2500 0.2500 0.3321 1
N2 0.2500 0.5625 0.2589 1
N3 0.2500 0.9375 0.2589 1
N4 0.7500 0.0625 0.7411 1
N5 0.7500 0.4375 0.7411 1
N6 0.7500 0.7500 0.6679 1
```



2.
A relaxed Pm3Te2Ru crystal, computed with PBE.

Calculated values
For the energy, the calculation gives -5.901 eV per atom. The symmetry is Immm.

```
data_Pm3Te2Ru
_chemical_formula_sum 'Pm3 Te2 Ru1'
_cell_length_a 7.8011
_cell_length_b 7.8011
_cell_length_c 7.8011
_cell_angle_alpha 148.65
_cell_angle_beta 133.41
_cell_angle_gamma 57.23
_space_group_name_H-M_alt 'P 1'
_space_group_IT_number 1
loop_
_space_group_symop_operation_xyz
'x,y,z'
loop_
_atom_site_label
_atom_site_fract_x
_atom_site_fract_y
_atom_site_fract_z
_atom_site_occupancy
Pm1 0.0000 0.0000 0.0000 1
Pm2 0.3633 0.3633 0.0000 1
Pm3 0.6367 0.6367 0.0000 1
Te1 0.1779 0.6779 0.5000 1
Te2 0.8221 0.3221 0.5000 1
Ru1 0.5000 0.0000 0.5000 1
```



3.
A relaxed BaGa2GeSe6 crystal, computed with PBE.

Calculated values
For the energy, the calculation gives -4.126 eV per atom. The symmetry is C2/c.

```
data_BaGa2GeSe6
_chemical_formula_sum 'Ba2 Ga4 Ge2 Se12'
_cell_length_a 9.7294
_cell_length_b 9.7294
_cell_length_c 7.3210
_cell_angle_alpha 106.14
_cell_angle_beta 106.14
_cell_angle_gamma 95.07
_space_group_name_H-M_alt 'P 1'
_space_group_IT_number 1
loop_
_space_group_symop_operation_xyz
'x,y,z'
loop_
_atom_site_label
_atom_site_fract_x
_atom_site_fract_y
_atom_site_fract_z
_atom_site_occupancy
Ba1 0.1529 0.8471 0.7500 1
Ba2 0.8471 0.1529 0.2500 1
Ga1 0.1582 0.3233 0.8576 1
Ga2 0.3233 0.1582 0.3576 1
Ga3 0.6767 0.8418 0.6424 1
Ga4 0.8418 0.6767 0.1424 1
Ge1 0.2996 0.7004 0.2500 1
Ge2 0.7004 0.2996 0.7500 1
Se1 0.0773 0.6116 0.2957 1
Se2 0.1282 0.1814 0.0710 1
Se3 0.1814 0.1282 0.5710 1
Se4 0.3183 0.5513 0.9387 1
Se5 0.3884 0.9227 0.2043 1
Se6 0.4487 0.6817 0.5613 1
Se7 0.5513 0.3183 0.4387 1
Se8 0.6116 0.0773 0.7957 1
Se9 0.6817 0.4487 0.0613 1
Se10 0.8186 0.8718 0.4290 1
Se11 0.8718 0.8186 0.9290 1
Se12 0.9227 0.3884 0.7043 1
```



In order of appearance, ρ = 12.98, 7.38, 4.35 g/cm³.
In order of appearance, energy relative to the elements, uncorrected = -0.122, -0.933, -0.776 eV/atom.